# YAgPbF6

An optimized crystal structure of YAgPbF6 (GGA-PBE, Alexandria).

formation energy without anion corrections = -2802 meV per atom
crystal system = trigonal
DOS at the Fermi energy = 0.00 states/eV/cell

Cell lengths 6.0849, 6.0849, 10.4608 Å; angles 90.00, 90.00, 120.00 degrees
Closest atoms and distances in Å follow each position.
Positions (direct):
Y1 0.3333 0.6667 0.2500  6 F 2.21
Y2 0.6667 0.3333 0.7500  6 F 2.21
Ag1 0.3333 0.6667 0.7500  6 F 2.51
Ag2 0.6667 0.3333 0.2500  6 F 2.51
Pb1 0.0000 0.0000 0.0000  6 F 2.49
Pb2 0.0000 0.0000 0.5000  6 F 2.49
F1 0.0385 0.3570 0.1337  1 Y 2.21
F2 0.0385 0.6815 0.3663  1 Y 2.21
F3 0.3185 0.3570 0.3663  1 Y 2.21
F4 0.3185 0.9615 0.1337  1 Y 2.21
F5 0.3570 0.0385 0.6337  1 Y 2.21
F6 0.3570 0.3185 0.8663  1 Y 2.21
F7 0.6430 0.6815 0.1337  1 Y 2.21
F8 0.6430 0.9615 0.3663  1 Y 2.21
F9 0.6815 0.0385 0.8663  1 Y 2.21
F10 0.6815 0.6430 0.6337  1 Y 2.21
F11 0.9615 0.3185 0.6337  1 Y 2.21
F12 0.9615 0.6430 0.8663  1 Y 2.21



# ZnAg2PbF6

An optimized crystal structure of ZnAg2PbF6 (GGA-PBE, Alexandria).

formation energy without anion corrections = -1787 meV per atom
crystal system = monoclinic
DOS at the Fermi energy = 0.00 states/eV/cell

Cell lengths 5.9169, 6.1283, 10.3454 Å; angles 90.00, 124.08, 90.00 degrees
Closest atoms and distances in Å follow each position.
Positions (direct):
Zn1 0.0000 0.0000 0.0000  6 F 2.05-2.11
Zn2 0.0000 0.5000 0.5000  6 F 2.05-2.11
Ag1 0.2280 0.0670 0.7498  6 F 2.45-2.73
Ag2 0.2280 0.4330 0.2498  6 F 2.45-2.73
Ag3 0.7720 0.5670 0.7502  6 F 2.45-2.73
Ag4 0.7720 0.9330 0.2502  6 F 2.45-2.73
Pb1 0.5000 0.0000 0.5000  6 F 2.45-2.49
Pb2 0.5000 0.5000 0.0000  6 F 2.45-2.49
F1 0.0917 0.2174 0.4276  1 Zn 2.08
F2 0.0917 0.2826 0.9276  1 Zn 2.08
F3 0.2146 0.6748 0.4338  1 Zn 2.05
F4 0.2146 0.8252 0.9338  1 Zn 2.05
F5 0.3540 0.0575 0.2247  1 Zn 2.11
F6 0.3540 0.4425 0.7247  1 Zn 2.11
F7 0.6460 0.5575 0.2753  1 Zn 2.11
F8 0.6460 0.9425 0.7753  1 Zn 2.11
F9 0.7854 0.1748 0.0662  1 Zn 2.05
F10 0.7854 0.3252 0.5662  1 Zn 2.05
F11 0.9083 0.7174 0.0724  1 Zn 2.08
F12 0.9083 0.7826 0.5724  1 Zn 2.08



# ZrAg2PbF8

An optimized crystal structure of ZrAg2PbF8 (GGA-PBE, Alexandria).

formation energy without anion corrections = -2433 meV per atom
crystal system = monoclinic
DOS at the Fermi energy = 0.00 states/eV/cell

Cell lengths 3.8828, 8.0649, 5.9920 Å; angles 90.00, 90.07, 90.00 degrees
Closest atoms and distances in Å follow each position.
Positions (direct):
Zr1 0.0000 0.0000 0.0000  8 F 2.10-2.26
Ag1 0.5000 0.2557 0.5000  6 F 2.46-2.62
Ag2 0.5000 0.7443 0.5000  6 F 2.46-2.62
Pb1 0.0000 0.5000 0.0000  8 F 2.47-2.71
F1 0.9999 0.2050 0.2152  1 Zr 2.10
F2 0.0001 0.2050 0.7848  1 Zr 2.10
F3 0.9999 0.7950 0.2152  1 Zr 2.10
F4 0.0001 0.7950 0.7848  1 Zr 2.10
F5 0.4995 0.5000 0.7459  2 Ag 2.46, 2 Pb 2.47
F6 0.4999 0.0000 0.1940  2 Zr 2.26, 1 F 2.33
F7 0.5001 0.0000 0.8060  2 Zr 2.26, 1 F 2.33
F8 0.5005 0.5000 0.2541  2 Ag 2.46, 2 Pb 2.47



# AgPdF3

An optimized crystal structure of AgPdF3 (GGA-PBE, Alexandria).

formation energy without anion corrections = -993 meV per atom
crystal system = cubic
DOS at the Fermi energy = 1.47 states/eV/cell
polymorph energy (0 for the lowest one) = 0.121 eV per atom

Cell lengths 4.2495, 4.2495, 4.2495 Å; angles 90.00, 90.00, 90.00 degrees
Closest atoms and distances in Å follow each position.
Positions (direct):
Ag1 0.0000 0.0000 0.0000  12 F 3.00
Pd1 0.5000 0.5000 0.5000  6 F 2.12
F1 0.0000 0.5000 0.5000  2 Pd 2.12
F2 0.5000 0.0000 0.5000  2 Pd 2.12
F3 0.5000 0.5000 0.0000  2 Pd 2.12



# Ag5Pd3F12

An optimized crystal structure of Ag5Pd3F12 (GGA-PBE, Alexandria).

formation energy without anion corrections = -967 meV per atom
crystal system = cubic
DOS at the Fermi energy = 74.67 states/eV/cell

Cell lengths 11.7263, 11.7263, 11.7263 Å; angles 109.47, 109.47, 109.47 degrees
Closest atoms and distances in Å follow each position.
Positions (direct):
Ag1 0.0000 0.0000 0.0000  6 F 2.33
Ag2 0.0000 0.0000 0.5000  6 F 2.33
Ag3 0.0000 0.5000 0.0000  6 F 2.33
Ag4 0.0000 0.5000 0.5000  6 F 2.33
Ag5 0.1250 0.7500 0.8750  4 F 2.48
Ag6 0.1250 0.8750 0.2500  4 F 2.48
Ag7 0.2500 0.1250 0.8750  4 F 2.48
Ag8 0.2500 0.6250 0.3750  4 F 2.48
Ag9 0.3750 0.2500 0.6250  4 F 2.48
Ag10 0.3750 0.6250 0.7500  4 F 2.48
Ag11 0.5000 0.0000 0.0000  6 F 2.33
Ag12 0.5000 0.0000 0.5000  6 F 2.33
Ag13 0.5000 0.5000 0.0000  6 F 2.33
Ag14 0.5000 0.5000 0.5000  6 F 2.33
Ag15 0.6250 0.3750 0.2500  4 F 2.48
Ag16 0.6250 0.7500 0.3750  4 F 2.48
Ag17 0.7500 0.3750 0.6250  4 F 2.48
Ag18 0.7500 0.8750 0.1250  4 F 2.48
Ag19 0.8750 0.1250 0.7500  4 F 2.48
Ag20 0.8750 0.2500 0.1250  4 F 2.48
Pd1 0.1250 0.2500 0.3750  4 F 2.05
Pd2 0.1250 0.3750 0.7500  4 F 2.05
Pd3 0.2500 0.3750 0.1250  4 F 2.05
Pd4 0.2500 0.8750 0.6250  4 F 2.05
Pd5 0.3750 0.1250 0.2500  4 F 2.05
Pd6 0.3750 0.7500 0.1250  4 F 2.05
Pd7 0.6250 0.2500 0.8750  4 F 2.05
Pd8 0.6250 0.8750 0.7500  4 F 2.05
Pd9 0.7500 0.1250 0.3750  4 F 2.05
Pd10 0.7500 0.6250 0.8750  4 F 2.05
Pd11 0.8750 0.6250 0.2500  4 F 2.05
Pd12 0.8750 0.7500 0.6250  4 F 2.05
F1 0.0364 0.6160 0.3776  1 Pd 2.05
F2 0.0364 0.9204 0.6588  1 Pd 2.05
F3 0.0796 0.2384 0.1160  1 Pd 2.05
F4 0.0796 0.3412 0.9636  1 Pd 2.05
F5 0.1160 0.0796 0.2384  1 Pd 2.05
F6 0.1160 0.5364 0.8776  1 Pd 2.05
F7 0.1224 0.7384 0.6588  1 Pd 2.05
F8 0.1224 0.8840 0.4636  1 Pd 2.05
F9 0.1588 0.2384 0.6224  1 Pd 2.05
F10 0.1588 0.4204 0.5364  1 Pd 2.05
F11 0.2384 0.1160 0.0796  1 Pd 2.05
F12 0.2384 0.6224 0.1588  1 Pd 2.05
F13 0.2616 0.3412 0.8776  1 Pd 2.05
F14 0.2616 0.4204 0.3840  1 Pd 2.05
F15 0.3412 0.8776 0.2616  1 Pd 2.05
F16 0.3412 0.9636 0.0796  1 Pd 2.05
F17 0.3776 0.0364 0.6160  1 Pd 2.05
F18 0.3776 0.8412 0.7616  1 Pd 2.05
F19 0.3840 0.2616 0.4204  1 Pd 2.05
F20 0.3840 0.6224 0.9636  1 Pd 2.05
F21 0.4204 0.3840 0.2616  1 Pd 2.05
F22 0.4204 0.5364 0.1588  1 Pd 2.05
F23 0.4636 0.1224 0.8840  1 Pd 2.05
F24 0.4636 0.8412 0.5796  1 Pd 2.05
F25 0.5364 0.1588 0.4204  1 Pd 2.05
F26 0.5364 0.8776 0.1160  1 Pd 2.05
F27 0.5796 0.4636 0.8412  1 Pd 2.05
F28 0.5796 0.6160 0.7384  1 Pd 2.05
F29 0.6160 0.3776 0.0364  1 Pd 2.05
F30 0.6160 0.7384 0.5796  1 Pd 2.05
F31 0.6224 0.1588 0.2384  1 Pd 2.05
F32 0.6224 0.9636 0.3840  1 Pd 2.05
F33 0.6588 0.0364 0.9204  1 Pd 2.05
F34 0.6588 0.1224 0.7384  1 Pd 2.05
F35 0.7384 0.5796 0.6160  1 Pd 2.05
F36 0.7384 0.6588 0.1224  1 Pd 2.05
F37 0.7616 0.3776 0.8412  1 Pd 2.05
F38 0.7616 0.8840 0.9204  1 Pd 2.05
F39 0.8412 0.5796 0.4636  1 Pd 2.05
F40 0.8412 0.7616 0.3776  1 Pd 2.05
F41 0.8776 0.1160 0.5364  1 Pd 2.05
F42 0.8776 0.2616 0.3412  1 Pd 2.05
F43 0.8840 0.4636 0.1224  1 Pd 2.05
F44 0.8840 0.9204 0.7616  1 Pd 2.05
F45 0.9204 0.6588 0.0364  1 Pd 2.05
F46 0.9204 0.7616 0.8840  1 Pd 2.05
F47 0.9636 0.0796 0.3412  1 Pd 2.05
F48 0.9636 0.3840 0.6224  1 Pd 2.05



# Ag2PdF

An optimized crystal structure of Ag2PdF (GGA-PBE, Alexandria).

formation energy without anion corrections = -336 meV per atom
crystal system = trigonal
DOS at the Fermi energy = 1.15 states/eV/cell

Cell lengths 9.2300, 9.2300, 9.2300 Å; angles 17.83, 17.83, 17.83 degrees
Closest atoms and distances in Å follow each position.
Positions (direct):
Ag1 0.0987 0.0987 0.0987  3 F 2.48, 1 Pd 2.69
Ag2 0.9013 0.9013 0.9013  3 F 2.48, 1 Pd 2.69
Pd1 0.0000 0.0000 0.0000  2 Ag 2.69, 6 Pd 2.86
F1 0.5000 0.5000 0.5000  6 Ag 2.48



# AgPdF3

An optimized crystal structure of AgPdF3 (GGA-PBE, Alexandria).

formation energy without anion corrections = -1113 meV per atom
crystal system = monoclinic
polymorph energy (0 for the lowest one) = 0.000 eV per atom

Cell lengths 4.1433, 6.7382, 5.4727 Å; angles 90.00, 90.23, 90.00 degrees
Closest atoms and distances in Å follow each position.
Positions (direct):
Ag1 0.2062 0.2500 0.1062  4 F 2.45-2.47
Ag2 0.7938 0.7500 0.8938  4 F 2.45-2.47
Pd1 0.5000 0.0000 0.5000  4 F 1.99-2.01
Pd2 0.5000 0.5000 0.5000  4 F 1.99-2.01
F1 0.2365 0.5166 0.8030  1 Pd 1.99
F2 0.2365 0.9834 0.8030  1 Pd 1.99
F3 0.2937 0.7500 0.3722  2 Pd 2.01
F4 0.7063 0.2500 0.6278  2 Pd 2.01
F5 0.7635 0.0166 0.1970  1 Pd 1.99
F6 0.7635 0.4834 0.1970  1 Pd 1.99



# AgPdF4

An optimized crystal structure of AgPdF4 (GGA-PBE, Alexandria).

formation energy without anion corrections = -1225 meV per atom
crystal system = monoclinic
DOS at the Fermi energy = 5.03 states/eV/cell

Cell lengths 6.1629, 5.1839, 6.0090 Å; angles 90.00, 107.89, 90.00 degrees
Closest atoms and distances in Å follow each position.
Positions (direct):
Ag1 0.0000 0.0000 0.0000  6 F 2.32-2.58
Ag2 0.0000 0.5000 0.5000  6 F 2.32-2.58
Pd1 0.5000 0.0000 0.5000  6 F 2.00-2.11
Pd2 0.5000 0.5000 0.0000  6 F 2.00-2.11
F1 0.1882 0.1564 0.3929  1 Pd 2.00
F2 0.1882 0.3436 0.8929  1 Pd 2.00
F3 0.3851 0.7257 0.6971  2 Pd 2.10-2.11
F4 0.3851 0.7743 0.1971  2 Pd 2.10-2.11
F5 0.6149 0.2257 0.8029  2 Pd 2.10-2.11
F6 0.6149 0.2743 0.3029  2 Pd 2.10-2.11
F7 0.8118 0.6564 0.1071  1 Pd 2.00
F8 0.8118 0.8436 0.6071  1 Pd 2.00



no.,size of the total moment (μB/f.u.)
1,0.1
2,0.0
3,0.0
4,0.0
5,0.0
6,0.0
7,0.0
8,0.0